First-principles (PBE) data for LiSmMg11 after structural relaxation, as listed in Alexandria via LeMat-Bulk.

Space group = C2/m

CIF file:
```
data_LiSmMg11
_chemical_formula_sum 'Li1 Sm1 Mg11'
_cell_length_a 5.845
_cell_length_b 7.771
_cell_length_c 7.798
_cell_angle_alpha 82.19
_cell_angle_beta 67.99
_cell_angle_gamma 68.74
_space_group_name_H-M_alt 'P 1'
_space_group_IT_number 1
loop_
_space_group_symop_operation_xyz
'x,y,z'
loop_
_atom_site_label
_atom_site_type_symbol
_atom_site_fract_x
_atom_site_fract_y
_atom_site_fract_z
_atom_site_occupancy
Mg1 Mg 0.997 0.353 0.652 1
Mg2 Mg 0.003 0.647 0.348 1
Mg3 Mg 0.506 0.215 0.790 1
Mg4 Mg 0.704 0.785 0.790 1
Mg5 Mg 0.000 0.500 0.000 1
Mg6 Mg 0.494 0.785 0.210 1
Mg7 Mg 0.648 0.353 0.348 1
Mg8 Mg 0.352 0.647 0.652 1
Mg9 Mg 0.500 0.000 0.500 1
Mg10 Mg 0.000 0.000 0.500 1
Mg11 Mg 0.296 0.215 0.210 1
Sm1 Sm 0.000 0.000 0.000 1
Li1 Li 0.500 0.500 0.000 1
```



First-principles (PBE) data for Li3Sm5Mg12 after structural relaxation, as listed in Alexandria via LeMat-Bulk.

Space group = Ia-3d

CIF file:
```
data_Li3Sm5Mg12
_chemical_formula_sum 'Li12 Sm20 Mg48'
_cell_length_a 15.007
_cell_length_b 15.007
_cell_length_c 15.007
_cell_angle_alpha 109.47
_cell_angle_beta 109.47
_cell_angle_gamma 109.47
_space_group_name_H-M_alt 'P 1'
_space_group_IT_number 1
loop_
_space_group_symop_operation_xyz
'x,y,z'
loop_
_atom_site_label
_atom_site_type_symbol
_atom_site_fract_x
_atom_site_fract_y
_atom_site_fract_z
_atom_site_occupancy
Mg1 Mg 0.910 0.363 0.254 1
Mg2 Mg 0.090 0.453 0.844 1
Mg3 Mg 0.410 0.656 0.047 1
Mg4 Mg 0.609 0.746 0.656 1
Mg5 Mg 0.047 0.891 0.137 1
Mg6 Mg 0.637 0.090 0.246 1
Mg7 Mg 0.254 0.863 0.910 1
Mg8 Mg 0.863 0.254 0.410 1
Mg9 Mg 0.344 0.590 0.453 1
Mg10 Mg 0.609 0.863 0.453 1
Mg11 Mg 0.910 0.547 0.156 1
Mg12 Mg 0.363 0.453 0.109 1
Mg13 Mg 0.246 0.656 0.109 1
Mg14 Mg 0.844 0.891 0.254 1
Mg15 Mg 0.156 0.047 0.910 1
Mg16 Mg 0.754 0.344 0.891 1
Mg17 Mg 0.090 0.637 0.746 1
Mg18 Mg 0.137 0.391 0.047 1
Mg19 Mg 0.637 0.547 0.891 1
Mg20 Mg 0.109 0.156 0.246 1
Mg21 Mg 0.863 0.609 0.953 1
Mg22 Mg 0.109 0.953 0.363 1
Mg23 Mg 0.891 0.844 0.754 1
Mg24 Mg 0.453 0.363 0.609 1
Mg25 Mg 0.953 0.844 0.590 1
Mg26 Mg 0.246 0.590 0.637 1
Mg27 Mg 0.391 0.254 0.344 1
Mg28 Mg 0.047 0.156 0.410 1
Mg29 Mg 0.547 0.910 0.656 1
Mg30 Mg 0.254 0.391 0.844 1
Mg31 Mg 0.656 0.410 0.547 1
Mg32 Mg 0.453 0.090 0.344 1
Mg33 Mg 0.590 0.344 0.953 1
Mg34 Mg 0.746 0.137 0.090 1
Mg35 Mg 0.410 0.754 0.863 1
Mg36 Mg 0.547 0.637 0.391 1
Mg37 Mg 0.891 0.047 0.637 1
Mg38 Mg 0.754 0.410 0.363 1
Mg39 Mg 0.746 0.609 0.156 1
Mg40 Mg 0.656 0.246 0.609 1
Mg41 Mg 0.590 0.246 0.137 1
Mg42 Mg 0.363 0.910 0.754 1
Mg43 Mg 0.344 0.754 0.391 1
Mg44 Mg 0.391 0.137 0.547 1
Mg45 Mg 0.156 0.109 0.746 1
Mg46 Mg 0.844 0.953 0.090 1
Mg47 Mg 0.137 0.746 0.590 1
Mg48 Mg 0.953 0.109 0.863 1
Sm1 Sm 0.625 0.875 0.250 1
Sm2 Sm 0.500 0.500 0.500 1
Sm3 Sm 0.750 0.125 0.875 1
Sm4 Sm 0.500 0.000 0.500 1
Sm5 Sm 0.875 0.625 0.750 1
Sm6 Sm 0.625 0.750 0.875 1
Sm7 Sm 0.375 0.125 0.750 1
Sm8 Sm 0.000 0.000 0.000 1
Sm9 Sm 0.125 0.375 0.250 1
Sm10 Sm 0.250 0.375 0.625 1
Sm11 Sm 0.375 0.250 0.125 1
Sm12 Sm 0.500 0.500 0.000 1
Sm13 Sm 0.000 0.500 0.500 1
Sm14 Sm 0.750 0.625 0.375 1
Sm15 Sm 0.250 0.875 0.125 1
Sm16 Sm 0.875 0.250 0.625 1
Sm17 Sm 0.125 0.750 0.375 1
Sm18 Sm 0.000 0.500 0.000 1
Sm19 Sm 0.500 0.000 0.000 1
Sm20 Sm 0.000 0.000 0.500 1
Li1 Li 0.375 0.625 0.250 1
Li2 Li 0.750 0.375 0.125 1
Li3 Li 0.125 0.875 0.750 1
Li4 Li 0.250 0.625 0.875 1
Li5 Li 0.125 0.250 0.875 1
Li6 Li 0.375 0.750 0.625 1
Li7 Li 0.875 0.125 0.250 1
Li8 Li 0.625 0.250 0.375 1
Li9 Li 0.250 0.125 0.375 1
Li10 Li 0.875 0.750 0.125 1
Li11 Li 0.750 0.875 0.625 1
Li12 Li 0.625 0.375 0.750 1
```



First-principles (PBE) data for LiSm5Mg6 after structural relaxation, as listed in Alexandria via LeMat-Bulk.

Space group = C2/m

CIF file:
```
data_LiSm5Mg6
_chemical_formula_sum 'Li1 Sm5 Mg6'
_cell_length_a 5.381
_cell_length_b 7.626
_cell_length_c 9.326
_cell_angle_alpha 65.85
_cell_angle_beta 73.31
_cell_angle_gamma 89.98
_space_group_name_H-M_alt 'P 1'
_space_group_IT_number 1
loop_
_space_group_symop_operation_xyz
'x,y,z'
loop_
_atom_site_label
_atom_site_type_symbol
_atom_site_fract_x
_atom_site_fract_y
_atom_site_fract_z
_atom_site_occupancy
Sm1 Sm 0.333 0.334 0.332 1
Sm2 Sm 0.667 0.666 0.668 1
Sm3 Sm 0.680 0.178 0.643 1
Sm4 Sm 0.320 0.822 0.357 1
Sm5 Sm 0.000 0.500 0.000 1
Mg1 Mg 0.842 0.613 0.312 1
Mg2 Mg 0.158 0.387 0.688 1
Mg3 Mg 0.841 0.075 0.312 1
Mg4 Mg 0.159 0.925 0.688 1
Mg5 Mg 0.500 0.227 0.000 1
Mg6 Mg 0.500 0.773 0.000 1
Li1 Li 0.000 0.000 0.000 1
```



First-principles (PBE) data for LiSm6Mg2 after structural relaxation, as listed in Alexandria via LeMat-Bulk.

Space group = P2_1/c

CIF file:
```
data_LiSm6Mg2
_chemical_formula_sum 'Li2 Sm12 Mg4'
_cell_length_a 6.408
_cell_length_b 9.666
_cell_length_c 9.131
_cell_angle_alpha 90.00
_cell_angle_beta 79.16
_cell_angle_gamma 90.00
_space_group_name_H-M_alt 'P 1'
_space_group_IT_number 1
loop_
_space_group_symop_operation_xyz
'x,y,z'
loop_
_atom_site_label
_atom_site_type_symbol
_atom_site_fract_x
_atom_site_fract_y
_atom_site_fract_z
_atom_site_occupancy
Sm1 Sm 0.421 0.803 0.433 1
Sm2 Sm 0.896 0.664 0.531 1
Sm3 Sm 0.079 0.303 0.067 1
Sm4 Sm 0.104 0.336 0.469 1
Sm5 Sm 0.921 0.697 0.933 1
Sm6 Sm 0.123 0.041 0.803 1
Sm7 Sm 0.579 0.197 0.567 1
Sm8 Sm 0.377 0.541 0.697 1
Sm9 Sm 0.877 0.959 0.197 1
Sm10 Sm 0.604 0.164 0.969 1
Sm11 Sm 0.396 0.836 0.031 1
Sm12 Sm 0.623 0.459 0.303 1
Li1 Li 0.000 0.000 0.500 1
Li2 Li 0.500 0.500 0.000 1
Mg1 Mg 0.646 0.903 0.716 1
Mg2 Mg 0.146 0.597 0.216 1
Mg3 Mg 0.354 0.097 0.284 1
Mg4 Mg 0.854 0.403 0.784 1
```



First-principles (PBE) data for Li5Sm2Mg12 after structural relaxation, as listed in Alexandria via LeMat-Bulk.

Space group = R-3m

CIF file:
```
data_Li5Sm2Mg12
_chemical_formula_sum 'Li5 Sm2 Mg12'
_cell_length_a 7.678
_cell_length_b 7.678
_cell_length_c 7.678
_cell_angle_alpha 82.49
_cell_angle_beta 82.49
_cell_angle_gamma 82.49
_space_group_name_H-M_alt 'P 1'
_space_group_IT_number 1
loop_
_space_group_symop_operation_xyz
'x,y,z'
loop_
_atom_site_label
_atom_site_type_symbol
_atom_site_fract_x
_atom_site_fract_y
_atom_site_fract_z
_atom_site_occupancy
Li1 Li 0.000 0.000 0.500 1
Li2 Li 0.500 0.000 0.000 1
Li3 Li 0.902 0.902 0.902 1
Li4 Li 0.000 0.500 0.000 1
Li5 Li 0.098 0.098 0.098 1
Mg1 Mg 0.147 0.655 0.655 1
Mg2 Mg 0.853 0.345 0.345 1
Mg3 Mg 0.302 0.000 0.698 1
Mg4 Mg 0.345 0.345 0.853 1
Mg5 Mg 0.655 0.147 0.655 1
Mg6 Mg 0.655 0.655 0.147 1
Mg7 Mg 0.000 0.698 0.302 1
Mg8 Mg 0.000 0.302 0.698 1
Mg9 Mg 0.345 0.853 0.345 1
Mg10 Mg 0.698 0.302 0.000 1
Mg11 Mg 0.698 0.000 0.302 1
Mg12 Mg 0.302 0.698 0.000 1
Sm1 Sm 0.346 0.346 0.346 1
Sm2 Sm 0.654 0.654 0.654 1
```



First-principles (PBE) data for Li2SmMg after structural relaxation, as listed in Alexandria via LeMat-Bulk.

Space group = Fm-3m
Energy above the most stable polymorph in this dataset = 0.0 meV/atom

CIF file:
```
data_Li2SmMg
_chemical_formula_sum 'Li2 Sm1 Mg1'
_cell_length_a 5.084
_cell_length_b 5.084
_cell_length_c 5.084
_cell_angle_alpha 60.00
_cell_angle_beta 60.00
_cell_angle_gamma 60.00
_space_group_name_H-M_alt 'P 1'
_space_group_IT_number 1
loop_
_space_group_symop_operation_xyz
'x,y,z'
loop_
_atom_site_label
_atom_site_type_symbol
_atom_site_fract_x
_atom_site_fract_y
_atom_site_fract_z
_atom_site_occupancy
Li1 Li 0.750 0.750 0.750 1
Li2 Li 0.250 0.250 0.250 1
Mg1 Mg 0.500 0.500 0.500 1
Sm1 Sm 0.000 0.000 0.000 1
```



Table of formation energy from the elements (meV per atom), in record order: -38 597 -64 118 -35 47